1.
The following is a DFT calculation (PBE-GGA) of Tm3Ag4Hg2 after structural relaxation.

abc: 8.9608 8.9608 5.2566
angles: 98.33 98.33 76.55
Positions (direct):
Tm 0.1308 0.8692 0.7500
Tm 0.2121 0.4566 0.9209
Tm 0.4566 0.2121 0.4209
Tm 0.5434 0.7879 0.5791
Tm 0.7879 0.5434 0.0791
Tm 0.8692 0.1308 0.2500
Ag 0.0965 0.3550 0.3671
Ag 0.3268 0.5638 0.4772
Ag 0.3550 0.0965 0.8671
Ag 0.4362 0.6732 0.0228
Ag 0.5638 0.3268 0.9772
Ag 0.6450 0.9035 0.1329
Ag 0.6732 0.4362 0.5228
Ag 0.9035 0.6450 0.6329
Hg 0.0122 0.7592 0.1906
Hg 0.2408 0.9878 0.3094
Hg 0.7592 0.0122 0.6906
Hg 0.9878 0.2408 0.8094

E_tot, eV/atom: -3.104
Magnetization, μB per cell: 0.0
Crystal system: monoclinic
Volume, Å³/f.u.: 202
Space-group type: No. 15



2.
The following is a DFT calculation (PBE-GGA) of YTmAgHg after structural relaxation.

abc: 7.3180 7.3180 7.3180
angles: 90.00 90.00 90.00
Positions (direct):
Y 0.0000 0.0000 0.0000
Y 0.0000 0.5000 0.5000
Y 0.5000 0.0000 0.5000
Y 0.5000 0.5000 0.0000
Tm 0.0000 0.0000 0.5000
Tm 0.0000 0.5000 0.0000
Tm 0.5000 0.0000 0.0000
Tm 0.5000 0.5000 0.5000
Ag 0.2500 0.2500 0.2500
Ag 0.2500 0.7500 0.7500
Ag 0.7500 0.2500 0.7500
Ag 0.7500 0.7500 0.2500
Hg 0.2500 0.2500 0.7500
Hg 0.2500 0.7500 0.2500
Hg 0.7500 0.2500 0.2500
Hg 0.7500 0.7500 0.7500

E_tot, eV/atom: -3.936
Magnetization, μB per cell: 0.0
Crystal system: cubic
Volume, Å³/f.u.: 98
Space-group type: No. 216



3.
The following is a DFT calculation (PBE-GGA) of TmZrAgHg after structural relaxation.

abc: 7.1152 7.1152 7.1152
angles: 90.00 90.00 90.00
Positions (direct):
Tm 0.0000 0.0000 0.0000
Tm 0.0000 0.5000 0.5000
Tm 0.5000 0.0000 0.5000
Tm 0.5000 0.5000 0.0000
Zr 0.0000 0.0000 0.5000
Zr 0.0000 0.5000 0.0000
Zr 0.5000 0.0000 0.0000
Zr 0.5000 0.5000 0.5000
Ag 0.2500 0.2500 0.2500
Ag 0.2500 0.7500 0.7500
Ag 0.7500 0.2500 0.7500
Ag 0.7500 0.7500 0.2500
Hg 0.2500 0.2500 0.7500
Hg 0.2500 0.7500 0.2500
Hg 0.7500 0.2500 0.2500
Hg 0.7500 0.7500 0.7500

E_tot, eV/atom: -4.233
Magnetization, μB per cell: 3.8
Crystal system: cubic
Volume, Å³/f.u.: 90
Space-group type: No. 216



4.
The following is a DFT calculation (PBE-GGA) of VAgHg2 after structural relaxation.

abc: 7.6683 7.6683 5.9479
angles: 90.00 90.00 90.00
Positions (direct):
V 0.0000 0.0000 0.0000
V 0.0000 0.5000 0.2500
V 0.5000 0.0000 0.7500
V 0.5000 0.5000 0.5000
Ag 0.0000 0.0000 0.5000
Ag 0.0000 0.5000 0.7500
Ag 0.5000 0.0000 0.2500
Ag 0.5000 0.5000 0.0000
Hg 0.2459 0.7500 0.1250
Hg 0.2500 0.2459 0.8750
Hg 0.2500 0.2541 0.3750
Hg 0.2541 0.7500 0.6250
Hg 0.7459 0.2500 0.6250
Hg 0.7500 0.7459 0.3750
Hg 0.7500 0.7541 0.8750
Hg 0.7541 0.2500 0.1250

E_tot, eV/atom: -2.621
Magnetization, μB per cell: 13.2
Crystal system: tetragonal
Volume, Å³/f.u.: 87
Space-group type: No. 122